Computed, not measured: an optimized crystal structure of Hf3ZnOs at the GGA-PBEsol level of DFT.

abc: 4.9452 4.9452 4.9452
angles: 90.00 90.00 90.00
Element x y z (fractional)
Hf1 0.0000 0.0000 0.5000
Hf2 0.0000 0.5000 0.0000
Hf3 0.5000 0.0000 0.0000
Zn1 0.5000 0.5000 0.5000
Os1 0.0000 0.0000 0.0000

Space-group type: Pm-3m
E_form (kcal/mol of atoms): 13.361
Magnetic moment (μB per atom): 0.00
Calculated density (Mg/m³): 10.86